Entry 1:
Compound: CaBr2F
Source: Alexandria
Functional: PBE-GGA
Structure: optimized geometry

M_tot = 1.0 μB/f.u.
excess energy over the best structure of this formula in the dataset = 16 meV per atom
formation energy from raw total energies = -1.487 eV per atom

a b c (Å): 8.1460 8.1460 8.1460
angles (deg): 31.55 31.55 31.55
Site moments in Bohr magnetons follow the coordinates.
Element x y z (fractional)
Br (0.8957, 0.8957, 0.8957)  0.16
Br (0.1043, 0.1043, 0.1043)  0.16
F (0.0000, 0.0000, 0.0000)  0.50
Ca (0.5000, 0.5000, 0.5000)  0.01

***

Entry 2:
Compound: AgSbBr3
Source: Alexandria
Functional: PBE-GGA
Structure: optimized geometry

M_tot = 0.0 μB/f.u.
excess energy over the best structure of this formula in the dataset = 325 meV per atom
formation energy from raw total energies = -0.043 eV per atom

a b c (Å): 5.6527 5.6527 5.6527
angles (deg): 90.00 90.00 90.00
Element x y z (fractional)
Br (0.5000, 0.0000, 0.0000)
Br (0.0000, 0.0000, 0.5000)
Br (0.0000, 0.5000, 0.0000)
Ag (0.5000, 0.5000, 0.5000)
Sb (0.0000, 0.0000, 0.0000)

***

Entry 3:
Compound: LaDy6Er3
Source: Alexandria
Functional: PBE-GGA
Structure: optimized geometry

M_tot = 0.0 μB/f.u.
excess energy over the best structure of this formula in the dataset = 125 meV per atom
energy of formation from the pure elements = 0.276 eV per atom

a b c (Å): 9.7936 9.7936 6.8796
angles (deg): 44.62 44.62 60.00
Element x y z (fractional)
Er (0.6406, 0.6406, 0.0781)
Er (0.1489, 0.1489, 0.5533)
Er (0.3966, 0.3966, 0.8101)
Dy (0.4047, 0.7317, 0.7923)
Dy (0.7317, 0.0714, 0.7923)
Dy (0.5654, 0.2367, 0.2936)
Dy (0.2367, 0.9043, 0.2936)
Dy (0.9043, 0.5654, 0.2936)
Dy (0.0714, 0.4047, 0.7923)
La (0.8997, 0.8997, 0.3008)

***

Entry 4:
Compound: P2RuW
Source: Alexandria
Functional: PBE-GGA
Structure: optimized geometry

M_tot = 0.0 μB/f.u.
energy of formation from the pure elements = -0.236 eV per atom

a b c (Å): 4.5168 4.5168 4.3528
angles (deg): 76.02 76.02 39.44
Element x y z (fractional)
P (0.9952, 0.9952, 0.0469)
P (0.7536, 0.7536, 0.7033)
Ru (0.4944, 0.4944, 0.5796)
W (0.2568, 0.2568, 0.1703)

***

Entry 5:
Compound: SiAg2B
Source: Alexandria
Functional: PBE-GGA
Structure: optimized geometry

M_tot = 0.0 μB/f.u.
excess energy over the best structure of this formula in the dataset = 0 meV per atom
formation energy from raw total energies = 0.876 eV per atom

a b c (Å): 3.9055 3.9055 8.6768
angles (deg): 76.99 76.99 90.00
Element x y z (fractional)
Ag (0.8750, 0.8612, 0.7500)
Ag (0.3750, 0.3888, 0.7500)
Ag (0.1388, 0.6250, 0.2500)
Ag (0.6112, 0.1250, 0.2500)
B (0.5000, 0.5000, 0.0000)
B (0.2500, 0.7500, 0.5000)
Si (0.0000, 0.0000, 0.0000)
Si (0.7500, 0.2500, 0.5000)

***

Entry 6:
Compound: Th6Sb2As3Pb
Source: Alexandria
Functional: PBE-GGA
Structure: optimized geometry

M_tot = 0.0 μB/f.u.
formation energy from raw total energies = -1.036 eV per atom

a b c (Å): 4.3708 8.8317 9.8548
angles (deg): 103.81 102.81 90.00
Element x y z (fractional)
Sb (0.1671, 0.3326, 0.3341)
Sb (0.8329, 0.6674, 0.6659)
As (0.1666, 0.8313, 0.3333)
As (0.5000, 0.5000, 0.0000)
As (0.8334, 0.1687, 0.6667)
Th (0.3278, 0.9318, 0.6557)
Th (0.6612, 0.5957, 0.3225)
Th (0.6722, 0.0682, 0.3443)
Th (0.0051, 0.7357, 0.0102)
Th (0.9949, 0.2643, 0.9898)
Th (0.3388, 0.4043, 0.6775)
Pb (0.5000, 0.0000, 0.0000)

***

Entry 7:
Compound: PuZnPd2
Source: Alexandria
Functional: PBE-GGA
Structure: optimized geometry

M_tot = 5.7 μB/f.u.
energy of formation from the pure elements = -0.450 eV per atom

a b c (Å): 3.1963 3.1963 6.9825
angles (deg): 90.00 90.00 90.00
Site moments in Bohr magnetons follow the coordinates.
Element x y z (fractional)
Pu (0.5000, 0.5000, 0.5000)  5.35
Pd (0.0000, 0.0000, 0.7945)  0.02
Pd (0.0000, 0.0000, 0.2055)  0.02
Zn (0.5000, 0.5000, 0.0000)  0.01